[1]
Here is crystalline Sr2YZrAg at its relaxed geometry from Alexandria via LeMat-Bulk. Energies are from GGA-PBE.

Magnetization (μB per cell): 0.00
Crystal system: tetragonal
Total energy (Ry per atom): -0.2516

Cell: 6.042 6.042 5.448 Å, 90.00 90.00 90.00°
Positions (direct):
Sr (0.000, 0.500, 0.000)
Sr (0.500, 0.000, 0.000)
Y (0.000, 0.000, 0.500)
Zr (0.000, 0.000, 0.000)
Ag (0.500, 0.500, 0.500)

[2]
Here is crystalline Sr4ZnAg at its relaxed geometry from Alexandria via LeMat-Bulk. Energies are from GGA-PBE.

Magnetization (μB per cell): 0.00
Crystal system: monoclinic
Energy above the most stable polymorph in this dataset (eV/atom): 0.0899

Cell: 7.887 7.887 7.835 Å, 90.00 90.04 90.00°
Positions (direct):
Sr (0.250, 0.000, 0.247)
Sr (0.250, 0.000, 0.753)
Sr (0.250, 0.500, 0.247)
Sr (0.250, 0.500, 0.753)
Sr (0.750, 0.000, 0.247)
Sr (0.750, 0.000, 0.753)
Sr (0.750, 0.500, 0.247)
Sr (0.750, 0.500, 0.753)
Zn (0.000, 0.249, 0.000)
Zn (0.500, 0.749, 0.000)
Ag (0.000, 0.750, 0.500)
Ag (0.500, 0.250, 0.500)

Which value of magnetization does entry 2 give?
0.00 μB per cell